(1)
# PBE-GGA CaTm3Bi2, optimized geometry
# - Raw total energy: -51.6 eV per cell
# - Formation energy from the elements: -0.441 eV/atom
data_CaTm3Bi2
_space_group_name_H-M_alt 'P 1'
_space_group_IT_number 1
_space_group_name_Hall 'P 1'
_cell_length_a 9.432
_cell_length_b 9.432
_cell_length_c 9.973
_cell_angle_alpha 112.68
_cell_angle_beta 112.68
_cell_angle_gamma 27.09
loop_
_atom_site_label
_atom_site_type_symbol
_atom_site_fract_x
_atom_site_fract_y
_atom_site_fract_z
Ca1 Ca 0.110 0.110 0.110
Ca2 Ca 0.890 0.890 0.890
Tm1 Tm 0.057 0.057 0.674
Tm2 Tm 0.309 0.309 0.116
Tm3 Tm 0.362 0.362 0.516
Tm4 Tm 0.638 0.638 0.484
Tm5 Tm 0.691 0.691 0.884
Tm6 Tm 0.943 0.943 0.326
Bi1 Bi 0.249 0.249 0.708
Bi2 Bi 0.493 0.493 0.164
Bi3 Bi 0.507 0.507 0.836
Bi4 Bi 0.751 0.751 0.292

=====

(2)
# PBE-GGA CaTmBi2, optimized geometry
# - Raw total energy: -17.1 eV per cell
# - Formation energy from the elements: -0.704 eV/atom
data_CaTmBi2
_space_group_name_H-M_alt 'P 1'
_space_group_IT_number 1
_space_group_name_Hall 'P 1'
_cell_length_a 8.155
_cell_length_b 8.155
_cell_length_c 8.155
_cell_angle_alpha 31.45
_cell_angle_beta 31.45
_cell_angle_gamma 31.45
loop_
_atom_site_label
_atom_site_type_symbol
_atom_site_fract_x
_atom_site_fract_y
_atom_site_fract_z
Ca1 Ca 0.000 0.000 0.000
Tm1 Tm 0.500 0.500 0.500
Bi1 Bi 0.245 0.245 0.245
Bi2 Bi 0.755 0.755 0.755

=====

(3)
# PBE-GGA CaTmBi2, optimized geometry
# - Raw total energy: -16.7 eV per cell
# - Formation energy from the elements: -0.624 eV/atom
data_CaTmBi2
_space_group_name_H-M_alt 'P 1'
_space_group_IT_number 1
_space_group_name_Hall 'P 1'
_cell_length_a 7.673
_cell_length_b 7.673
_cell_length_c 7.673
_cell_angle_alpha 35.36
_cell_angle_beta 35.36
_cell_angle_gamma 35.36
loop_
_atom_site_label
_atom_site_type_symbol
_atom_site_fract_x
_atom_site_fract_y
_atom_site_fract_z
Ca1 Ca 0.000 0.000 0.000
Tm1 Tm 0.827 0.827 0.827
Bi1 Bi 0.417 0.417 0.417
Bi2 Bi 0.578 0.578 0.578

=====

(4)
# PBE-GGA CaTmBi2, optimized geometry
# - Raw total energy: -16.6 eV per cell
# - Formation energy from the elements: -0.584 eV/atom
data_CaTmBi2
_space_group_name_H-M_alt 'P 1'
_space_group_IT_number 1
_space_group_name_Hall 'P 1'
_cell_length_a 5.540
_cell_length_b 5.540
_cell_length_c 5.540
_cell_angle_alpha 60.00
_cell_angle_beta 60.00
_cell_angle_gamma 60.00
loop_
_atom_site_label
_atom_site_type_symbol
_atom_site_fract_x
_atom_site_fract_y
_atom_site_fract_z
Ca1 Ca 0.000 0.000 0.000
Tm1 Tm 0.500 0.500 0.500
Bi1 Bi 0.250 0.250 0.250
Bi2 Bi 0.750 0.750 0.750

=====

(5)
# PBE-GGA CaYTm2Bi4, optimized geometry
# - Raw total energy: -39.2 eV per cell
# - Formation energy from the elements: -0.781 eV/atom
data_CaYTm2Bi4
_space_group_name_H-M_alt 'P 1'
_space_group_IT_number 1
_space_group_name_Hall 'P 1'
_cell_length_a 7.794
_cell_length_b 4.452
_cell_length_c 7.807
_cell_angle_alpha 90.00
_cell_angle_beta 109.04
_cell_angle_gamma 90.00
loop_
_atom_site_label
_atom_site_type_symbol
_atom_site_fract_x
_atom_site_fract_y
_atom_site_fract_z
Ca1 Ca 0.000 0.000 0.000
Y1 Y 0.500 0.500 0.000
Tm1 Tm 0.000 0.500 0.500
Tm2 Tm 0.500 0.000 0.500
Bi1 Bi 0.251 0.000 0.744
Bi2 Bi 0.257 0.500 0.259
Bi3 Bi 0.743 0.500 0.741
Bi4 Bi 0.749 0.000 0.256

=====

(6)
# PBE-GGA CaY2Tm3Bi6, optimized geometry
# - Raw total energy: -61.3 eV per cell
# - Formation energy from the elements: -0.805 eV/atom
data_CaY2Tm3Bi6
_space_group_name_H-M_alt 'P 1'
_space_group_IT_number 1
_space_group_name_Hall 'P 1'
_cell_length_a 10.025
_cell_length_b 10.025
_cell_length_c 8.982
_cell_angle_alpha 103.01
_cell_angle_beta 103.01
_cell_angle_gamma 25.76
loop_
_atom_site_label
_atom_site_type_symbol
_atom_site_fract_x
_atom_site_fract_y
_atom_site_fract_z
Ca1 Ca 0.000 0.000 0.000
Y1 Y 0.334 0.334 0.668
Y2 Y 0.666 0.666 0.332
Tm1 Tm 0.000 0.000 0.500
Tm2 Tm 0.335 0.335 0.166
Tm3 Tm 0.665 0.665 0.834
Bi1 Bi 0.166 0.166 0.585
Bi2 Bi 0.170 0.170 0.082
Bi3 Bi 0.499 0.499 0.258
Bi4 Bi 0.501 0.501 0.742
Bi5 Bi 0.830 0.830 0.918
Bi6 Bi 0.834 0.834 0.415